# 1
{
  "formula": "AlGa2Ag3",
  "functional": "PBE-GGA",
  "state": "relaxed",
  "relative_energy_ev_per_fu": 0.000,
  "formation_energy_mev_per_atom": -41,
  "dos_ef_per_ev_cell": 2.36,
  "magnetic_moment_mub_per_cell": 0.00,
  "lattice": [[4.8176, 0.0000, 0.0000], [0.0000, 8.9575, 0.0000], [0.0000, 0.0000, 4.8140]],
  "species": ["Al", "Al", "Ga", "Ga", "Ga", "Ga", "Ag", "Ag", "Ag", "Ag", "Ag", "Ag"],
  "frac_coords": [[0.2500, 0.2500, 0.0920], [0.7500, 0.7500, 0.9080], [0.2500, 0.5809, 0.0985], [0.2500, 0.9191, 0.0985], [0.7500, 0.0809, 0.9015], [0.7500, 0.4191, 0.9015], [0.2500, 0.0874, 0.5973], [0.2500, 0.4126, 0.5973], [0.2500, 0.7500, 0.6127], [0.7500, 0.2500, 0.3873], [0.7500, 0.5874, 0.4027], [0.7500, 0.9126, 0.4027]]
}

***

# 2
{
  "formula": "Ce2NbSnN5",
  "functional": "PBE-GGA",
  "state": "relaxed",
  "e_form_raw_mev_per_atom": -867,
  "dos_ef_per_ev_cell": 15.95,
  "magnetic_moment_mub_per_cell": 1.94,
  "lattice": [[1.6722, -7.0993, 0.0000], [1.6722, 7.0993, 0.0000], [0.0000, 0.0000, 10.4303]],
  "species": ["Ce", "Ce", "Ce", "Ce", "Nb", "Nb", "Sn", "Sn", "N", "N", "N", "N", "N", "N", "N", "N", "N", "N"],
  "frac_coords": [[0.1258, 0.8742, 0.5000], [0.1367, 0.8633, 0.0602], [0.8633, 0.1367, 0.5602], [0.8742, 0.1258, 0.0000], [0.2277, 0.7723, 0.7883], [0.7723, 0.2277, 0.2883], [0.4854, 0.5146, 0.2595], [0.5146, 0.4854, 0.7595], [0.0708, 0.9292, 0.8381], [0.2820, 0.7180, 0.4297], [0.2972, 0.7028, 0.1527], [0.3669, 0.6331, 0.7969], [0.4989, 0.5011, 0.5612], [0.5011, 0.4989, 0.0612], [0.6331, 0.3669, 0.2969], [0.7028, 0.2972, 0.6527], [0.7180, 0.2820, 0.9297], [0.9292, 0.0708, 0.3381]]
}

***

# 3
{
  "formula": "InTcOs2",
  "functional": "PBE-GGA",
  "state": "relaxed",
  "formation_energy_mev_per_atom": 678,
  "dos_ef_per_ev_cell": 11.07,
  "magnetic_moment_mub_per_cell": 0.14,
  "lattice": [[2.8618, 0.0000, 0.0000], [0.0000, 4.8338, 0.0000], [0.0000, 0.0000, 9.3389]],
  "species": ["In", "In", "Tc", "Tc", "Os", "Os", "Os", "Os"],
  "frac_coords": [[0.0000, 0.0000, 0.0000], [0.5000, 0.5000, 0.0000], [0.0000, 0.5000, 0.2646], [0.5000, 0.0000, 0.2646], [0.0000, 0.0000, 0.4986], [0.0000, 0.5000, 0.7379], [0.5000, 0.0000, 0.7379], [0.5000, 0.5000, 0.4986]]
}

***

# 4
{
  "formula": "FeTcW2",
  "functional": "PBE-GGA",
  "state": "relaxed",
  "relative_energy_ev_per_fu": 0.000,
  "formation_energy_mev_per_atom": 103,
  "dos_ef_per_ev_cell": 3.67,
  "magnetic_moment_mub_per_cell": 2.34,
  "lattice": [[3.1293, 0.0000, 0.0000], [0.0000, 3.1293, 0.0000], [0.0000, 0.0000, 6.0251]],
  "species": ["Fe", "Tc", "W", "W"],
  "frac_coords": [[0.0000, 0.0000, 0.0000], [0.5000, 0.5000, 0.2528], [0.0000, 0.0000, 0.4984], [0.5000, 0.5000, 0.7746]]
}

***

Copy entry 2 word for word.
{
  "formula": "Ce2NbSnN5",
  "functional": "PBE-GGA",
  "state": "relaxed",
  "e_form_raw_mev_per_atom": -867,
  "dos_ef_per_ev_cell": 15.95,
  "magnetic_moment_mub_per_cell": 1.94,
  "lattice": [[1.6722, -7.0993, 0.0000], [1.6722, 7.0993, 0.0000], [0.0000, 0.0000, 10.4303]],
  "species": ["Ce", "Ce", "Ce", "Ce", "Nb", "Nb", "Sn", "Sn", "N", "N", "N", "N", "N", "N", "N", "N", "N", "N"],
  "frac_coords": [[0.1258, 0.8742, 0.5000], [0.1367, 0.8633, 0.0602], [0.8633, 0.1367, 0.5602], [0.8742, 0.1258, 0.0000], [0.2277, 0.7723, 0.7883], [0.7723, 0.2277, 0.2883], [0.4854, 0.5146, 0.2595], [0.5146, 0.4854, 0.7595], [0.0708, 0.9292, 0.8381], [0.2820, 0.7180, 0.4297], [0.2972, 0.7028, 0.1527], [0.3669, 0.6331, 0.7969], [0.4989, 0.5011, 0.5612], [0.5011, 0.4989, 0.0612], [0.6331, 0.3669, 0.2969], [0.7028, 0.2972, 0.6527], [0.7180, 0.2820, 0.9297], [0.9292, 0.0708, 0.3381]]
}